No. 1
# Mn3TeO6 PBEsol relaxed
data_Mn3TeO6
_cell_length_a 5.102
_cell_length_b 5.235
_cell_length_c 9.705
_cell_angle_alpha 90.00
_cell_angle_beta 119.15
_cell_angle_gamma 90.00
_space_group_name_H-M_alt 'P 1 21/c 1'
_space_group_IT_number 14
loop_
_space_group_symop_operation_xyz
'x,y,z'
'-x,-y,-z'
'-x,y+1/2,-z+1/2'
'x,-y+1/2,z+1/2'
loop_
_atom_site_label
_atom_site_type_symbol
_atom_site_fract_x
_atom_site_fract_y
_atom_site_fract_z
Mn1 Mn 0.000 0.000 0.000
Mn2 Mn 0.210 0.055 0.730
Te1 Te 0.500 0.000 0.500
O1 O 0.091 0.202 0.425
O2 O 0.170 0.694 0.393
O3 O 0.446 0.122 0.272
# - polymorph energy (0 for the lowest one) (meV/atom) = 61
# - M_tot (μB/f.u.) = 13.00

***

No. 2
# Mn3TeO8 PBEsol relaxed
data_Mn3TeO8
_cell_length_a 5.8799
_cell_length_b 5.8799
_cell_length_c 13.9799
_cell_angle_alpha 90.00
_cell_angle_beta 90.00
_cell_angle_gamma 120.00
_space_group_name_H-M_alt 'R -3 m'
_space_group_IT_number 166
_space_group_name_Hall '-R 3 2"'
loop_
_atom_site_label
_atom_site_type_symbol
_atom_site_fract_x
_atom_site_fract_y
_atom_site_fract_z
Mn1 Mn 0.0000 0.5000 0.0000
Te1 Te 0.0000 0.0000 0.0000
O1 O 0.0000 0.0000 0.2670
O2 O 0.0135 0.5067 0.2640
# - M_tot (μB/f.u.) = 6.98
# - energy (eV/atom) = -7.57

***

No. 3
# MnTe6O13 PBEsol relaxed
data_MnTe6O13
_cell_length_a 10.1312
_cell_length_b 10.1312
_cell_length_c 19.0670
_cell_angle_alpha 90.00
_cell_angle_beta 90.00
_cell_angle_gamma 120.00
_space_group_name_H-M_alt 'R -3'
_space_group_IT_number 148
_space_group_name_Hall '-R 3'
loop_
_atom_site_label
_atom_site_type_symbol
_atom_site_fract_x
_atom_site_fract_y
_atom_site_fract_z
Mn1 Mn 0.0000 0.0000 0.2451
Te1 Te 0.0627 0.2372 0.9092
Te2 Te 0.0788 0.2395 0.4058
O1 O 0.0000 0.0000 0.4134
O2 O 0.0012 0.7491 0.4507
O3 O 0.0512 0.1976 0.8115
O4 O 0.0546 0.1869 0.0711
O5 O 0.0887 0.8846 0.3077
# - M_tot (μB/f.u.) = 5.00
# - energy (eV/atom) = -6.04

***

No. 4
# Mn3TeO6 PBEsol relaxed
data_Mn3TeO6
_cell_length_a 8.8240
_cell_length_b 8.8240
_cell_length_c 10.6857
_cell_angle_alpha 90.00
_cell_angle_beta 90.00
_cell_angle_gamma 120.00
_space_group_name_H-M_alt 'R -3'
_space_group_IT_number 148
_space_group_name_Hall '-R 3'
loop_
_atom_site_label
_atom_site_type_symbol
_atom_site_fract_x
_atom_site_fract_y
_atom_site_fract_z
Mn1 Mn 0.0378 0.2633 0.2143
Te1 Te 0.0000 0.0000 0.0000
Te2 Te 0.0000 0.0000 0.5000
O1 O 0.0272 0.1857 0.8859
O2 O 0.0331 0.2018 0.4022
# - polymorph energy (0 for the lowest one) (meV/atom) = 93
# - M_tot (μB/f.u.) = 14.98

***

No. 5
# Mn4TeO8 PBEsol relaxed
data_Mn4TeO8
_cell_length_a 10.594
_cell_length_b 5.842
_cell_length_c 6.283
_cell_angle_alpha 90.00
_cell_angle_beta 123.64
_cell_angle_gamma 90.00
_space_group_name_H-M_alt 'C 1 2/m 1'
_space_group_IT_number 12
loop_
_space_group_symop_operation_xyz
'x,y,z'
'-x,-y,-z'
'-x,y,-z'
'x,-y,z'
'x+1/2,y+1/2,z'
'-x+1/2,-y+1/2,-z'
'-x+1/2,y+1/2,-z'
'x+1/2,-y+1/2,z'
loop_
_atom_site_label
_atom_site_type_symbol
_atom_site_fract_x
_atom_site_fract_y
_atom_site_fract_z
Mn1 Mn 0.000 0.000 0.000
Mn2 Mn 0.000 0.500 0.500
Mn3 Mn 0.250 0.250 0.000
Te1 Te 0.000 0.000 0.500
O1 O 0.000 0.257 0.284
O2 O 0.224 0.000 0.173
O3 O 0.231 0.000 0.778
# - M_tot (μB/f.u.) = 15.98
# - energy (eV/atom) = -7.74

***

No. 6
# MnTeO3 PBEsol relaxed
data_MnTeO3
_cell_length_a 6.062
_cell_length_b 7.585
_cell_length_c 5.448
_cell_angle_alpha 90.00
_cell_angle_beta 90.00
_cell_angle_gamma 90.00
_space_group_name_H-M_alt 'P n m a'
_space_group_IT_number 62
loop_
_space_group_symop_operation_xyz
'x,y,z'
'-x,-y,-z'
'-x+1/2,-y,z+1/2'
'x+1/2,y,-z+1/2'
'x+1/2,-y+1/2,-z+1/2'
'-x+1/2,y+1/2,z+1/2'
'-x,y+1/2,-z'
'x,-y+1/2,z'
loop_
_atom_site_label
_atom_site_type_symbol
_atom_site_fract_x
_atom_site_fract_y
_atom_site_fract_z
Mn1 Mn 0.000 0.000 0.000
Te1 Te 0.020 0.250 0.487
O1 O 0.058 0.750 0.170
O2 O 0.178 0.567 0.637
# - M_tot (μB/f.u.) = 5.00
# - energy (eV/atom) = -6.93